Density functional theory data (PBE) for InHg2Pb after structural relaxation.

Properties
As for the space-group type: R-3m, No. 166. For the density of states at the Fermi level, the calculation gives 0.31 states/eV/atom. Its formation energy is 11.4 meV/atom. The value obtained for the energy is -7.00 eV per cell.

Structure (POSCAR):
```
InHg2Pb
1.0
1.674 0.967 11.344
-1.674 0.967 11.344
0.000 -1.934 11.344
In Hg Pb
1 2 1
Cartesian
0.000 0.000 0.000
0.000 0.000 8.629
0.000 0.000 25.402
0.000 0.000 17.015
```